Ca3AlCr3O8 | Alexandria | GGA+U | relaxed; crystal system = monoclinic; spin magnetization = 11.0 μB/f.u.; calculated total energy = -7.16 eV per atom
1.0
5.723 -3.042 0.000
5.723 3.042 0.000
-3.442 0.000 5.326
Ca Al Cr O
3 1 3 8
Direct
0.000 0.000 0.000
0.000 0.500 0.500
0.500 0.000 0.500
0.000 0.000 0.500
0.000 0.500 0.000
0.500 0.000 0.000
0.500 0.500 0.500
0.210 0.210 0.739
0.223 0.752 0.695
0.248 0.777 0.305
0.272 0.272 0.248
0.728 0.728 0.752
0.752 0.223 0.695
0.777 0.248 0.305
0.790 0.790 0.261